1.
Material: LiNbHgSb2
Method: DFT, GGA-PBE
State: optimized geometry

## Properties
DFT total energy (eV per atom): -3.719
E_form (uncorrected) (eV per atom): 0.387
ρ (Mg/m³): 5.521

Structure (CIF):
```
data_LiNbHgSb2
_chemical_formula_sum 'Li1 Nb1 Hg1 Sb2'
_cell_length_a 5.329
_cell_length_b 5.329
_cell_length_c 5.763
_cell_angle_alpha 90.00
_cell_angle_beta 90.00
_cell_angle_gamma 90.00
_symmetry_space_group_name_H-M 'P 4/m m m'
_symmetry_Int_Tables_number 123
_symmetry_space_group_name_Hall '-P 4 2'
loop_
_atom_site_label
_atom_site_type_symbol
_atom_site_fract_x
_atom_site_fract_y
_atom_site_fract_z
_atom_site_occupancy
Li1 Li 0.000 0.000 0.000 1
Nb1 Nb 0.000 0.000 0.500 1
Hg1 Hg 0.500 0.500 0.000 1
Sb1 Sb 0.000 0.500 0.500 1
```

---

2.
Material: LiNd4Hg5
Method: DFT, GGA-PBE
State: optimized geometry

## Properties
DFT total energy (eV per atom): -2.681
Calculated formation energy (meV per atom): -431
ρ (Mg/m³): 9.859

Structure (CIF):
```
data_LiNd4Hg5
_chemical_formula_sum 'Li1 Nd4 Hg5'
_cell_length_a 3.777
_cell_length_b 3.777
_cell_length_c 18.737
_cell_angle_alpha 90.00
_cell_angle_beta 90.00
_cell_angle_gamma 90.00
_symmetry_space_group_name_H-M 'P 4/m m m'
_symmetry_Int_Tables_number 123
_symmetry_space_group_name_Hall '-P 4 2'
loop_
_atom_site_label
_atom_site_type_symbol
_atom_site_fract_x
_atom_site_fract_y
_atom_site_fract_z
_atom_site_occupancy
Li1 Li 0.000 0.000 0.000 1
Nd1 Nd 0.000 0.000 0.187 1
Nd2 Nd 0.000 0.000 0.395 1
Hg1 Hg 0.500 0.500 0.084 1
Hg2 Hg 0.500 0.500 0.292 1
Hg3 Hg 0.500 0.500 0.500 1
```

---

3.
Material: Li7Nd3Hg4
Method: DFT, GGA-PBE
State: optimized geometry

## Properties
DFT total energy (eV per atom): -2.340
Calculated formation energy (meV per atom): -275
ρ (Mg/m³): 6.889

Structure (CIF):
```
data_Li7Nd3Hg4
_chemical_formula_sum 'Li14 Nd6 Hg8'
_cell_length_a 16.370
_cell_length_b 4.908
_cell_length_c 9.259
_cell_angle_alpha 90.00
_cell_angle_beta 123.72
_cell_angle_gamma 90.00
_symmetry_space_group_name_H-M 'C 1 2/m 1'
_symmetry_Int_Tables_number 12
loop_
_symmetry_equiv_pos_as_xyz
'x,y,z'
'-x,-y,-z'
'-x,y,-z'
'x,-y,z'
'x+1/2,y+1/2,z'
'-x+1/2,-y+1/2,-z'
'-x+1/2,y+1/2,-z'
'x+1/2,-y+1/2,z'
loop_
_atom_site_label
_atom_site_type_symbol
_atom_site_fract_x
_atom_site_fract_y
_atom_site_fract_z
_atom_site_occupancy
Li1 Li 0.000 0.000 0.000 1
Li2 Li 0.005 0.500 0.177 1
Li3 Li 0.142 0.000 0.939 1
Li4 Li 0.159 0.500 0.510 1
Nd1 Nd 0.000 0.000 0.500 1
Nd2 Nd 0.223 0.500 0.224 1
Hg1 Hg 0.134 0.000 0.337 1
Hg2 Hg 0.151 0.500 0.797 1
```

---

4.
Material: Li2NdHg
Method: DFT, GGA-PBE
State: optimized geometry

## Properties
Excess energy over the best structure of this formula in the dataset (eV/atom): 0.029
DFT total energy (eV per atom): -2.430
Calculated formation energy (meV per atom): -205
ρ (Mg/m³): 6.366

Structure (CIF):
```
data_Li2NdHg
_chemical_formula_sum 'Li6 Nd3 Hg3'
_cell_length_a 4.9476
_cell_length_b 4.9476
_cell_length_c 13.2414
_cell_angle_alpha 90.00
_cell_angle_beta 90.00
_cell_angle_gamma 120.00
_symmetry_space_group_name_H-M 'R 3 m'
_symmetry_Int_Tables_number 160
_symmetry_space_group_name_Hall 'R 3 -2"'
loop_
_atom_site_label
_atom_site_type_symbol
_atom_site_fract_x
_atom_site_fract_y
_atom_site_fract_z
_atom_site_occupancy
Li1 Li 0.0000 0.0000 0.0000 1
Li2 Li 0.0000 0.0000 0.2646 1
Nd1 Nd 0.0000 0.0000 0.4975 1
Hg1 Hg 0.0000 0.0000 0.7315 1
```

---

5.
Material: Li7NdHg4
Method: DFT, GGA-PBE
State: optimized geometry

## Properties
DFT total energy (eV per atom): -1.756
Calculated formation energy (meV per atom): -142
ρ (Mg/m³): 6.722

Structure (CIF):
```
data_Li7NdHg4
_chemical_formula_sum 'Li14 Nd2 Hg8'
_cell_length_a 13.518
_cell_length_b 5.062
_cell_length_c 9.165
_cell_angle_alpha 90.00
_cell_angle_beta 128.36
_cell_angle_gamma 90.00
_symmetry_space_group_name_H-M 'C 1 2/m 1'
_symmetry_Int_Tables_number 12
loop_
_symmetry_equiv_pos_as_xyz
'x,y,z'
'-x,-y,-z'
'-x,y,-z'
'x,-y,z'
'x+1/2,y+1/2,z'
'-x+1/2,-y+1/2,-z'
'-x+1/2,y+1/2,-z'
'x+1/2,-y+1/2,z'
loop_
_atom_site_label
_atom_site_type_symbol
_atom_site_fract_x
_atom_site_fract_y
_atom_site_fract_z
_atom_site_occupancy
Li1 Li 0.000 0.000 0.000 1
Li2 Li 0.049 0.500 0.402 1
Li3 Li 0.178 0.000 0.623 1
Li4 Li 0.216 0.500 0.868 1
Nd1 Nd 0.000 0.500 0.000 1
Hg1 Hg 0.069 0.000 0.784 1
Hg2 Hg 0.200 0.000 0.345 1
```

---

6.
Material: Li2Nd3Hg2
Method: DFT, GGA-PBE
State: optimized geometry

## Properties
DFT total energy (eV per atom): -2.926
Calculated formation energy (meV per atom): -250
ρ (Mg/m³): 7.731

Structure (CIF):
```
data_Li2Nd3Hg2
_chemical_formula_sum 'Li2 Nd3 Hg2'
_cell_length_a 5.044
_cell_length_b 6.268
_cell_length_c 6.606
_cell_angle_alpha 106.39
_cell_angle_beta 90.03
_cell_angle_gamma 113.60
_symmetry_space_group_name_H-M 'P -1'
_symmetry_Int_Tables_number 2
loop_
_symmetry_equiv_pos_as_xyz
'x,y,z'
'-x,-y,-z'
loop_
_atom_site_label
_atom_site_type_symbol
_atom_site_fract_x
_atom_site_fract_y
_atom_site_fract_z
_atom_site_occupancy
Li1 Li 0.120 0.239 0.484 1
Nd1 Nd 0.000 0.000 0.000 1
Nd2 Nd 0.341 0.681 0.223 1
Hg1 Hg 0.358 0.715 0.730 1
```